(1)
An optimized crystal structure of Li7Tl. Source: Alexandria via LeMat-Bulk, functional PBE.

Cell: 6.007 6.007 6.007 Å, 60.00 60.00 60.00°
Fractional positions:
1 Li 0.000 0.500 0.000
2 Li 0.500 0.000 0.500
3 Li 0.500 0.500 0.000
4 Li 0.000 0.500 0.500
5 Li 0.500 0.000 0.000
6 Li 0.500 0.500 0.500
7 Li 0.000 0.000 0.500
8 Tl 0.000 0.000 0.000

Energy relative to the elements, eV per formula unit: -0.90
Space group: Fm-3m, No. 225


(2)
An optimized crystal structure of KTa2Os. Source: Alexandria via LeMat-Bulk, functional PBE.

Cell: 2.891 2.891 10.765 Å, 90.00 90.00 112.03°
Fractional positions:
1 K 0.500 0.500 0.250
2 Os 0.500 0.500 0.750
3 Ta 0.000 0.000 0.554
4 Ta 0.000 0.000 0.946

Energy relative to the elements, eV per formula unit: 2.65
Energy relative to the lowest polymorph listed for this composition, meV per atom: 84
Space group: Cmmm, No. 65


(3)
An optimized crystal structure of In3HgI8. Source: Alexandria via LeMat-Bulk, functional PBE.

Cell: 8.031 8.031 9.941 Å, 89.63 89.63 69.39°
Fractional positions:
1 I 0.261 0.746 0.234
2 I 0.254 0.739 0.766
3 I 0.752 0.752 0.016
4 I 0.739 0.254 0.766
5 I 0.264 0.264 0.516
6 I 0.248 0.248 0.984
7 I 0.736 0.736 0.484
8 I 0.746 0.261 0.234
9 Hg 0.000 0.000 0.000
10 In 0.366 0.366 0.755
11 In 0.000 0.000 0.500
12 In 0.634 0.634 0.245

Formation energy without anion corrections, meV/atom: -396.4
Space group: C2/m, No. 12


(4)
An optimized crystal structure of Nd3Zn6Au5. Source: Alexandria via LeMat-Bulk, functional PBE.

Cell: 4.460 8.438 8.438 Å, 68.96 74.67 74.67°
Fractional positions:
1 Nd 0.291 0.709 0.709
2 Nd 0.709 0.291 0.291
3 Nd 0.000 0.000 0.000
4 Zn 0.864 0.846 0.427
5 Zn 0.500 0.327 0.673
6 Zn 0.136 0.573 0.154
7 Zn 0.136 0.154 0.573
8 Zn 0.864 0.427 0.846
9 Zn 0.500 0.673 0.327
10 Au 0.655 0.993 0.697
11 Au 0.345 0.303 0.007
12 Au 0.345 0.007 0.303
13 Au 0.000 0.500 0.500
14 Au 0.655 0.697 0.993

Energy relative to the elements, eV per formula unit: -7.80
Space group: Immm, No. 71


(5)
An optimized crystal structure of Fe2AgSb2. Source: Alexandria via LeMat-Bulk, functional PBE.

Cell: 7.207 7.207 3.420 Å, 90.00 90.00 90.00°
Site moments in Bohr magnetons follow the coordinates.
Fractional positions:
1 Fe 0.125 0.375 0.000  2.13
2 Fe 0.625 0.125 0.000  2.14
3 Fe 0.375 0.875 0.000  2.14
4 Fe 0.875 0.625 0.000  2.13
5 Sb 0.834 0.334 0.500  -0.06
6 Sb 0.334 0.166 0.500  -0.06
7 Sb 0.666 0.834 0.500  -0.06
8 Sb 0.166 0.666 0.500  -0.06
9 Ag 0.500 0.500 0.000  -0.03
10 Ag 0.000 0.000 0.000  -0.03

Formation energy without anion corrections, meV/atom: 233.9
Energy relative to the lowest polymorph listed for this composition, meV per atom: 8
Space group: P4/mbm, No. 127


(6)
An optimized crystal structure of FeAsS2. Source: Alexandria via LeMat-Bulk, functional PBE.

Cell: 7.802 7.802 7.802 Å, 24.24 24.24 24.24°
Site moments in Bohr magnetons follow the coordinates.
Fractional positions:
1 As 0.000 0.000 0.000  -0.02
2 Fe 0.500 0.500 0.500  1.06
3 S 0.113 0.113 0.113  0.03
4 S 0.887 0.887 0.887  0.03

Formation energy without anion corrections, meV/atom: -99.6
Space group: R-3m, No. 166


Uncorrected energy list, top to bottom, in eV/atom: -2.082 -8.344 -2.140 -3.295 -5.370 -5.441